A relaxed structure of TaTc2RuC, computed with PBE.

Geometry as extended XYZ:
```
5
Lattice="-2.6246 2.6813 1.6467 -1.5818 -2.9779 2.3279 2.6827 0.8437 2.9021" Properties=species:S:1:pos:R:3 pbc="T T T"
C 0.0000 0.0000 0.0000
Ta -0.7618 0.2735 3.4383
Tc -0.7909 -1.4890 1.1639
Tc -1.3123 1.3407 0.8233
Ru 1.3413 0.4218 1.4511
```

Results
As for the space group: P4/mmm. As for the formation energy: -159 meV/atom.

A relaxed structure of TaTcRu2C, computed with PBE.

Geometry as extended XYZ:
```
5
Lattice="-1.8996 3.2130 -1.5391 -3.2187 -0.8002 2.3022 1.5583 2.3574 2.9981" Properties=species:S:1:pos:R:3 pbc="T T T"
Tc 0.7792 1.1787 1.4991
Ru -1.6094 -0.4001 1.1511
Ru -0.9498 1.6065 -0.7695
C 0.0000 0.0000 0.0000
Ta -1.7800 2.3851 1.8806
```

Results
As for the space group: P4/mmm. As for the formation energy: -149 meV/atom.